(1)
Computed, not measured: crystalline K2SiAgSn at its relaxed geometry at the PBE level of DFT.

## Properties
The energy relative to the elements, uncorrected is 1.7 eV per formula unit. The total energy is -2.549 eV per atom. Its crystal system is tetragonal.

Unit cell a=6.149 b=4.728 c=6.149 alpha=90.00 beta=90.00 gamma=90.00
Each line ends with the local moment (μB).
Fractional coordinates of all 5 atoms:
Ag  0.000  0.000  0.000  -0.01
Si  0.000  0.500  0.000  -0.04
K  0.500  0.000  0.000  0.00
K  0.000  0.000  0.500  0.00
Sn  0.500  0.500  0.500  0.17


(2)
Computed, not measured: crystalline KSiAgTe3 at its relaxed geometry at the PBE level of DFT.

## Properties
The energy relative to the elements, uncorrected is -1.8 eV per formula unit. The total energy is -3.437 eV per atom. Its crystal system is monoclinic.

Unit cell a=7.330 b=7.330 c=8.320 alpha=84.06 beta=84.06 gamma=69.48
Fractional coordinates of all 12 atoms:
K  0.637  0.637  0.798
Te  0.844  0.844  0.337
Te  0.862  0.378  0.198
Te  0.622  0.138  0.802
Te  0.138  0.622  0.802
Si  0.021  0.021  0.135
Te  0.156  0.156  0.663
K  0.363  0.363  0.202
Ag  0.810  0.190  0.500
Si  0.979  0.979  0.865
Ag  0.190  0.810  0.500
Te  0.378  0.862  0.198